(1)
Here is TbThCuRh after structural relaxation from Alexandria. Energies are from PBE-GGA.

The structure in POSCAR format:
```
TbThCuRh
1.0
0.000 3.531 3.531
3.531 0.000 3.531
3.531 3.531 0.000
Tb Th Cu Rh
1 1 1 1
Direct
0.000 0.000 0.000
0.500 0.500 0.500
0.250 0.250 0.250
0.750 0.750 0.750
```

Properties
The value obtained for the total moment is 0.00 μB per formula unit. As for the energy relative to the elements: -0.4785 eV/atom. The total energy comes out at -6.35 eV per atom.

***

(2)
Here is Mg6TiCr after structural relaxation from Alexandria. Energies are from PBE-GGA.

The structure in POSCAR format:
```
Mg6TiCr
1.0
4.892 0.000 0.000
0.000 3.075 5.489
0.000 -3.075 5.489
Mg Ti Cr
6 1 1
Direct
0.000 0.000 0.000
0.000 0.507 0.989
0.000 0.989 0.507
0.500 0.162 0.162
0.500 0.166 0.651
0.500 0.651 0.166
0.500 0.645 0.645
0.000 0.514 0.514
```

Properties
The value obtained for the total moment is 2.68 μB per formula unit. As for the energy relative to the elements: 0.1974 eV/atom. The total energy comes out at -3.19 eV per atom.

***

(3)
Here is Ba5TlAg4 after structural relaxation from Alexandria. Energies are from PBE-GGA.

The structure in POSCAR format:
```
Ba5TlAg4
1.0
4.173 0.000 0.000
0.000 4.173 0.000
0.000 0.000 20.705
Ba Tl Ag
5 1 4
Direct
0.000 0.000 0.000
0.000 0.000 0.196
0.000 0.000 0.395
0.000 0.000 0.605
0.000 0.000 0.804
0.500 0.500 0.500
0.500 0.500 0.098
0.500 0.500 0.294
0.500 0.500 0.706
0.500 0.500 0.902
```

Properties
The value obtained for the total moment is 0.00 μB per formula unit. As for the energy relative to the elements: -0.2657 eV/atom. The total energy comes out at -2.60 eV per atom.

***

Calculated D(E_F), 2.4; 5.7; 9.3 states/eV/cell (same order as the records).